Here is a relaxed Cd5Hg3 crystal from Alexandria. Energies are from PBE.

Its energy relative to the elements is 0.0166 eV/atom. The calculation puts the energy above the lowest structure with this stoichiometry at 0.00 eV/f.u. Its space group is C2 (5).

```
8
Lattice="-2.506 -3.686 -0.367 0.548 -0.041 -4.439 7.959 -4.607 4.577" Properties=species:S:1:pos:R:3 pbc="T T T"
Cd 5.191 -5.047 1.804
Cd -0.686 -1.853 -4.599
Cd 5.733 -8.295 2.029
Cd 0.812 -3.282 -2.028
Cd 2.220 -5.111 0.860
Hg 1.800 -1.384 0.386
Hg 4.223 -6.909 -0.563
Hg 3.733 -3.316 -1.211
```